Record 1
DFT (PBE) results for a relaxed structure of ZnAgRu.

Values from the calculation:
**Energy above the lowest structure with this stoichiometry**: 0.0 meV/atom
**Magnetization**: 0.0 μB/cell
**Crystal system**: tetragonal
**Space-group type**: P4/nmm, No. 129
**Formation energy**: -0.036 eV/atom

Unit cell a=2.836 b=2.836 c=11.408 alpha=90.00 beta=90.00 gamma=90.00
Sites, in units of the cell vectors:
Ru (0.000, 0.500, 0.572)
Ru (0.500, 0.000, 0.428)
Zn (0.000, 0.500, 0.270)
Zn (0.500, 0.000, 0.730)
Ag (0.500, 0.000, 0.096)
Ag (0.000, 0.500, 0.904)

***

Record 2
DFT (PBE) results for a relaxed structure of AlCoRh2S.

Values from the calculation:
**Raw formation energy**: 0.9647 eV/atom
**Magnetization**: 3.8 μB/cell
**Crystal system**: tetragonal
**Space-group type**: P4/mmm, No. 123

Unit cell a=4.517 b=4.427 c=4.517 alpha=90.00 beta=90.00 gamma=90.00
Sites, in units of the cell vectors:
Co (0.500, 0.500, 0.500)
S (0.000, 0.500, 0.000)
Rh (0.000, 0.000, 0.500)
Rh (0.500, 0.000, 0.000)
Al (0.000, 0.000, 0.000)

***

Record 3
DFT (PBE) results for a relaxed structure of Sm4HgPSe2.

Values from the calculation:
**Raw formation energy**: -1.3996 eV/atom
**Magnetization**: 0.0 μB/cell
**Crystal system**: monoclinic
**Space-group type**: P2/m, No. 10

Unit cell a=4.149 b=7.315 c=7.369 alpha=71.21 beta=90.00 gamma=90.00
Sites, in units of the cell vectors:
Sm (0.000, 0.755, 0.735)
Sm (0.000, 0.245, 0.265)
Sm (0.500, 0.740, 0.267)
Sm (0.500, 0.260, 0.733)
Hg (0.500, 0.500, 0.000)
P (0.000, 0.500, 0.500)
Se (0.000, 0.000, 0.000)
Se (0.500, 0.000, 0.500)

***

Record 4
DFT (PBE) results for a relaxed structure of TbNdY2.

Values from the calculation:
**Energy above the lowest structure with this stoichiometry**: 101.8 meV/atom
**Magnetization**: 0.0 μB/cell
**Crystal system**: cubic
**Space-group type**: Fm-3m, No. 225
**Formation energy**: 0.118 eV/atom

Unit cell a=5.733 b=5.733 c=5.733 alpha=60.00 beta=60.00 gamma=60.00
Sites, in units of the cell vectors:
Y (0.250, 0.250, 0.250)
Y (0.750, 0.750, 0.750)
Nd (0.500, 0.500, 0.500)
Tb (0.000, 0.000, 0.000)

***

Record 5
DFT (PBE) results for a relaxed structure of Tl2CuGeS4.

Values from the calculation:
**Raw formation energy**: -0.3096 eV/atom
**Magnetization**: 0.0 μB/cell
**Crystal system**: tetragonal
**Space-group type**: I-4, No. 82

Unit cell a=7.041 b=7.042 c=6.366 alpha=123.59 beta=123.60 gamma=89.99
Sites, in units of the cell vectors:
Tl (0.486, 0.986, 0.972)
Tl (0.236, 0.236, 0.472)
Cu (0.736, 0.736, 0.472)
Ge (0.986, 0.486, 0.972)
S (0.691, 0.571, 0.678)
S (0.901, 0.485, 0.265)
S (0.365, 0.780, 0.266)
S (0.987, 0.107, 0.678)

***

Record 6
DFT (PBE) results for a relaxed structure of V2FePdN.

Values from the calculation:
**Raw formation energy**: -0.4578 eV/atom
**Magnetization**: 1.1 μB/cell
**Crystal system**: tetragonal
**Space-group type**: P4/mmm, No. 123

Unit cell a=3.948 b=3.948 c=3.816 alpha=90.00 beta=90.00 gamma=90.00
Sites, in units of the cell vectors:
N (0.000, 0.000, 0.000)
Fe (0.000, 0.000, 0.500)
Pd (0.500, 0.500, 0.500)
V (0.000, 0.500, 0.000)
V (0.500, 0.000, 0.000)

***

Record 7
DFT (PBE) results for a relaxed structure of FeNi2W.

Values from the calculation:
**Energy above the lowest structure with this stoichiometry**: 480.9 meV/atom
**Magnetization**: 0.0 μB/cell
**Crystal system**: tetragonal
**Space-group type**: I-42d, No. 122
**Formation energy**: 0.463 eV/atom

Unit cell a=3.446 b=3.446 c=8.991 alpha=78.95 beta=78.95 gamma=90.00
Sites, in units of the cell vectors:
Ni (0.609, 0.125, 0.250)
Ni (0.141, 0.625, 0.250)
Ni (0.375, 0.391, 0.750)
Ni (0.875, 0.859, 0.750)
Fe (0.500, 0.500, 0.000)
Fe (0.250, 0.750, 0.500)
W (0.000, 0.000, 0.000)
W (0.750, 0.250, 0.500)

***

Record 8
DFT (PBE) results for a relaxed structure of LiCu4.

Values from the calculation:
**Energy above the lowest structure with this stoichiometry**: 10.9 meV/atom
**Magnetization**: 0.0 μB/cell
**Crystal system**: orthorhombic
**Space-group type**: Immm, No. 71
**Formation energy**: -0.026 eV/atom

Unit cell a=2.538 b=3.697 c=6.825 alpha=105.71 beta=100.71 gamma=90.00
Sites, in units of the cell vectors:
Li (0.000, 0.000, 0.000)
Cu (0.602, 0.602, 0.203)
Cu (0.200, 0.200, 0.401)
Cu (0.800, 0.800, 0.599)
Cu (0.398, 0.398, 0.797)